# 1
# GGA-PBE Te2PAuN, optimized geometry
data_Te2PAuN
_chemical_formula_sum 'Te2 P1 Au1 N1'
_symmetry_space_group_name_H-M 'P 1'
_symmetry_Int_Tables_number 1
_cell_length_a 5.578
_cell_length_b 5.578
_cell_length_c 3.852
_cell_angle_alpha 90.00
_cell_angle_beta 90.00
_cell_angle_gamma 90.00
loop_
_symmetry_equiv_pos_as_xyz
'x,y,z'
loop_
_atom_site_label
_atom_site_fract_x
_atom_site_fract_y
_atom_site_fract_z
P1 0.500 0.500 0.500
Te1 0.000 0.500 0.000
Te2 0.500 0.000 0.000
Au1 0.000 0.000 0.000
N1 0.000 0.000 0.500
# * final energy: -17.0 eV for the cell shown

# 2
# GGA-PBE TePAuN2, optimized geometry
data_TePAuN2
_chemical_formula_sum 'Te1 P1 Au1 N2'
_symmetry_space_group_name_H-M 'P 1'
_symmetry_Int_Tables_number 1
_cell_length_a 3.668
_cell_length_b 3.668
_cell_length_c 5.969
_cell_angle_alpha 90.00
_cell_angle_beta 90.00
_cell_angle_gamma 90.00
loop_
_symmetry_equiv_pos_as_xyz
'x,y,z'
loop_
_atom_site_label
_atom_site_fract_x
_atom_site_fract_y
_atom_site_fract_z
P1 0.000 0.000 0.000
Te1 0.000 0.000 0.500
Au1 0.500 0.500 0.500
N1 0.000 0.500 0.000
N2 0.500 0.000 0.000
# * final energy: -23.0 eV for the cell shown

# 3
# GGA-PBE VPAuN2, optimized geometry
data_VPAuN2
_chemical_formula_sum 'V1 P1 Au1 N2'
_symmetry_space_group_name_H-M 'P 1'
_symmetry_Int_Tables_number 1
_cell_length_a 3.804
_cell_length_b 5.866
_cell_length_c 3.804
_cell_angle_alpha 90.00
_cell_angle_beta 90.00
_cell_angle_gamma 90.00
loop_
_symmetry_equiv_pos_as_xyz
'x,y,z'
loop_
_atom_site_label
_atom_site_fract_x
_atom_site_fract_y
_atom_site_fract_z
P1 0.500 0.500 0.500
N1 0.000 0.000 0.500
N2 0.500 0.000 0.000
Au1 0.000 0.000 0.000
V1 0.000 0.500 0.000
# * final energy: -24.6 eV for the cell shown

# 4
# GGA-PBE Pa2AuN, optimized geometry
data_Pa2AuN
_chemical_formula_sum 'Pa2 Au1 N1'
_symmetry_space_group_name_H-M 'P 1'
_symmetry_Int_Tables_number 1
_cell_length_a 3.384
_cell_length_b 3.384
_cell_length_c 8.084
_cell_angle_alpha 77.92
_cell_angle_beta 77.92
_cell_angle_gamma 60.00
loop_
_symmetry_equiv_pos_as_xyz
'x,y,z'
loop_
_atom_site_label
_atom_site_fract_x
_atom_site_fract_y
_atom_site_fract_z
Pa1 0.771 0.771 0.686
Pa2 0.229 0.229 0.314
Au1 0.000 0.000 0.000
N1 0.500 0.500 0.500
# * final energy: -33.8 eV for the cell shown

# 5
# GGA-PBE PaAuN2, optimized geometry
data_PaAuN2
_chemical_formula_sum 'Pa2 Au2 N4'
_symmetry_space_group_name_H-M 'P 1'
_symmetry_Int_Tables_number 1
_cell_length_a 3.675
_cell_length_b 6.365
_cell_length_c 6.292
_cell_angle_alpha 109.64
_cell_angle_beta 90.00
_cell_angle_gamma 90.00
loop_
_symmetry_equiv_pos_as_xyz
'x,y,z'
loop_
_atom_site_label
_atom_site_fract_x
_atom_site_fract_y
_atom_site_fract_z
Pa1 0.250 0.750 0.500
Pa2 0.750 0.250 0.500
Au1 0.250 0.249 0.000
Au2 0.750 0.751 0.000
N1 0.750 0.866 0.346
N2 0.250 0.365 0.346
N3 0.750 0.635 0.654
N4 0.250 0.134 0.654
# * final energy: -66.8 eV for the cell shown

# 6
# GGA-PBE PaAuN, optimized geometry
data_PaAuN
_chemical_formula_sum 'Pa1 Au1 N1'
_symmetry_space_group_name_H-M 'P 1'
_symmetry_Int_Tables_number 1
_cell_length_a 3.244
_cell_length_b 3.244
_cell_length_c 5.868
_cell_angle_alpha 106.05
_cell_angle_beta 106.05
_cell_angle_gamma 90.00
loop_
_symmetry_equiv_pos_as_xyz
'x,y,z'
loop_
_atom_site_label
_atom_site_fract_x
_atom_site_fract_y
_atom_site_fract_z
Pa1 0.724 0.724 0.448
Au1 0.011 0.011 0.022
N1 0.265 0.265 0.530
# * final energy: -23.2 eV for the cell shown

Q: Which formula does entry 5 have?
A: PaAuN2

Q: The lowest final energy belongs to which entry?
A: PaAuN2

Q: The lowest final energy belongs to which entry?
A: PaAuN2